1.
InPRuCl2: optimized geometry, GGA-PBE.

Summary:
Polymorph energy (0 for the lowest one) = 0 meV/atom
Space-group type = P4/mmm

Lattice parameters (Å, degrees): 5.019 5.019 4.426 90.00 90.00 90.00
Positions (direct):
Ru (0.000, 0.000, 0.000)
Cl (0.000, 0.500, 0.000)
Cl (0.500, 0.000, 0.000)
P (0.000, 0.000, 0.500)
In (0.500, 0.500, 0.500)

=====

2.
InPRuCl2: optimized geometry, GGA-PBE.

Summary:
Polymorph energy (0 for the lowest one) = 927 meV/atom
Space-group type = P4/mmm

Lattice parameters (Å, degrees): 5.006 5.006 5.266 90.00 90.00 90.00
Site moments in Bohr magnetons follow the coordinates.
Positions (direct):
Ru (0.500, 0.500, 0.500)  2.86
Cl (0.000, 0.500, 0.000)  0.05
Cl (0.500, 0.000, 0.000)  0.05
P (0.000, 0.000, 0.500)  0.14
In (0.000, 0.000, 0.000)  0.00

=====

3.
InP2SCl: optimized geometry, GGA-PBE.

Summary:
Polymorph energy (0 for the lowest one) = 589 meV/atom
Space-group type = P4/mmm

Lattice parameters (Å, degrees): 5.294 5.294 4.988 90.00 90.00 90.00
Site moments in Bohr magnetons follow the coordinates.
Positions (direct):
P (0.000, 0.500, 0.000)  0.52
P (0.500, 0.000, 0.000)  0.52
S (0.000, 0.000, 0.500)  -0.22
Cl (0.500, 0.500, 0.500)  0.14
In (0.000, 0.000, 0.000)  0.00

=====

4.
InPSCl2: optimized geometry, GGA-PBE.

Summary:
Polymorph energy (0 for the lowest one) = 504 meV/atom
Space-group type = P4/mmm

Lattice parameters (Å, degrees): 5.033 5.033 5.187 90.00 90.00 90.00
Site moments in Bohr magnetons follow the coordinates.
Positions (direct):
P (0.500, 0.500, 0.500)  0.95
S (0.000, 0.000, 0.500)  -0.21
Cl (0.000, 0.500, 0.000)  0.04
Cl (0.500, 0.000, 0.000)  0.04
In (0.000, 0.000, 0.000)  0.01

=====

5.
InP2SCl: optimized geometry, GGA-PBE.

Summary:
Polymorph energy (0 for the lowest one) = 600 meV/atom
Space-group type = P4/mmm

Lattice parameters (Å, degrees): 4.751 4.751 5.136 90.00 90.00 90.00
Positions (direct):
P (0.000, 0.500, 0.000)
P (0.500, 0.000, 0.000)
S (0.000, 0.000, 0.500)
Cl (0.000, 0.000, 0.000)
In (0.500, 0.500, 0.500)

=====

6.
InPSCl2: optimized geometry, GGA-PBE.

Summary:
Polymorph energy (0 for the lowest one) = 0 meV/atom
Space-group type = P4/mmm

Lattice parameters (Å, degrees): 5.135 5.135 4.555 90.00 90.00 90.00
Positions (direct):
P (0.000, 0.000, 0.000)
S (0.000, 0.000, 0.500)
Cl (0.000, 0.500, 0.000)
Cl (0.500, 0.000, 0.000)
In (0.500, 0.500, 0.500)

=====

7.
InPSCl2: optimized geometry, GGA-PBE.

Summary:
Polymorph energy (0 for the lowest one) = 642 meV/atom
Space-group type = P4/mmm

Lattice parameters (Å, degrees): 4.907 4.907 5.571 90.00 90.00 90.00
Site moments in Bohr magnetons follow the coordinates.
Positions (direct):
P (0.000, 0.000, 0.500)  -0.49
S (0.500, 0.500, 0.500)  0.71
Cl (0.000, 0.500, 0.000)  0.02
Cl (0.500, 0.000, 0.000)  0.02
In (0.000, 0.000, 0.000)  0.01

=====

8.
InPSCl2: optimized geometry, GGA-PBE.

Summary:
Polymorph energy (0 for the lowest one) = 447 meV/atom
Space-group type = P4/mmm

Lattice parameters (Å, degrees): 5.491 5.491 4.565 90.00 90.00 90.00
Positions (direct):
P (0.000, 0.000, 0.500)
S (0.000, 0.000, 0.000)
Cl (0.000, 0.500, 0.000)
Cl (0.500, 0.000, 0.000)
In (0.500, 0.500, 0.500)